Entry 1:
A plane-wave DFT calculation with GGA-PBE was carried out for an optimized crystal structure of MgTi2HRh.

Summary:
* M_tot: 0.0 Bohr magnetons per cell
* E above lowest polymorph: 22.3 meV per atom
* DOS(E_F): 5.1 states/eV per cell

a b c (Å): 4.053 4.053 4.077
angles (deg): 90.00 90.00 90.00
Atoms (fractional coordinates):
Rh1 0.000 0.000 0.500
Ti1 0.500 0.000 0.000
H1 0.000 0.000 0.000
Ti2 0.000 0.500 0.000
Mg1 0.500 0.500 0.500

Entry 2:
A plane-wave DFT calculation with GGA-PBE was carried out for an optimized crystal structure of MgTiHRh2.

Summary:
* calculated total energy: -5.97 eV/atom
* M_tot: 0.0 Bohr magnetons per cell
* DOS(E_F): 2.6 states/eV per cell

a b c (Å): 4.103 4.103 3.733
angles (deg): 90.00 90.00 90.00
Atoms (fractional coordinates):
Mg1 0.500 0.500 0.500
Rh1 0.000 0.500 0.000
Ti1 0.000 0.000 0.500
H1 0.000 0.000 0.000
Rh2 0.500 0.000 0.000

Entry 3:
A plane-wave DFT calculation with GGA-PBE was carried out for an optimized crystal structure of MgTlH8Rh2.

Summary:
* calculated total energy: -3.84 eV/atom
* M_tot: 0.0 Bohr magnetons per cell
* DOS(E_F): 1.9 states/eV per cell

a b c (Å): 4.913 4.913 7.082
angles (deg): 69.70 69.70 60.00
Atoms (fractional coordinates):
Tl1 0.500 0.500 0.500
H1 0.356 0.923 0.133
H2 0.923 0.587 0.133
Rh1 0.312 0.312 0.064
H3 0.077 0.413 0.867
H4 0.771 0.771 0.686
Mg1 0.000 0.000 0.000
H5 0.644 0.077 0.867
H6 0.229 0.229 0.314
H7 0.413 0.644 0.867
Rh2 0.688 0.688 0.936
H8 0.587 0.356 0.133

Entry 4:
A plane-wave DFT calculation with GGA-PBE was carried out for an optimized crystal structure of YMg2HRh.

Summary:
* calculated total energy: -4.41 eV/atom
* M_tot: 0.0 Bohr magnetons per cell
* DOS(E_F): 1.6 states/eV per cell

a b c (Å): 4.156 4.777 4.156
angles (deg): 90.00 90.00 90.00
Atoms (fractional coordinates):
Mg1 0.000 0.000 0.500
Y1 0.000 0.500 0.000
H1 0.000 0.000 0.000
Mg2 0.500 0.000 0.000
Rh1 0.500 0.500 0.500

Entry 5:
A plane-wave DFT calculation with GGA-PBE was carried out for an optimized crystal structure of YMgHRh2.

Summary:
* M_tot: 0.0 Bohr magnetons per cell
* E above lowest polymorph: 14.0 meV per atom
* DOS(E_F): 0.8 states/eV per cell

a b c (Å): 4.255 4.255 4.084
angles (deg): 90.00 90.00 90.00
Atoms (fractional coordinates):
Y1 0.000 0.000 0.500
Rh1 0.500 0.000 0.000
H1 0.000 0.000 0.000
Rh2 0.000 0.500 0.000
Mg1 0.500 0.500 0.500

Entry 6:
A plane-wave DFT calculation with GGA-PBE was carried out for an optimized crystal structure of YMgH8Rh2.

Summary:
* calculated total energy: -4.38 eV/atom
* M_tot: 0.0 Bohr magnetons per cell
* DOS(E_F): 2.9 states/eV per cell

a b c (Å): 4.812 4.812 5.990
angles (deg): 66.32 66.32 60.00
Atoms (fractional coordinates):
H1 0.188 0.188 0.435
Rh1 0.296 0.296 0.112
Y1 0.500 0.500 0.500
H2 0.897 0.596 0.160
Mg1 0.000 0.000 0.000
H3 0.103 0.404 0.840
H4 0.404 0.653 0.840
H5 0.653 0.103 0.840
Rh2 0.704 0.704 0.888
H6 0.347 0.897 0.160
H7 0.596 0.347 0.160
H8 0.812 0.812 0.565

Entry 7:
A plane-wave DFT calculation with GGA-PBE was carried out for an optimized crystal structure of YMgHRh2.

Summary:
* M_tot: 0.0 Bohr magnetons per cell
* E above lowest polymorph: 0.0 meV per atom
* DOS(E_F): 1.4 states/eV per cell

a b c (Å): 4.344 4.344 3.863
angles (deg): 90.00 90.00 90.00
Atoms (fractional coordinates):
H1 0.000 0.000 0.000
Rh1 0.500 0.000 0.000
Y1 0.500 0.500 0.500
Mg1 0.000 0.000 0.500
Rh2 0.000 0.500 0.000

Entry 8:
A plane-wave DFT calculation with GGA-PBE was carried out for an optimized crystal structure of MgZr2HRh.

Summary:
* M_tot: 0.0 Bohr magnetons per cell
* E above lowest polymorph: 0.0 meV per atom
* DOS(E_F): 3.4 states/eV per cell

a b c (Å): 4.318 4.318 4.209
angles (deg): 90.00 90.00 90.00
Atoms (fractional coordinates):
Rh1 0.500 0.500 0.500
Zr1 0.000 0.500 0.000
Zr2 0.500 0.000 0.000
H1 0.000 0.000 0.000
Mg1 0.000 0.000 0.500

Entry 9:
A plane-wave DFT calculation with GGA-PBE was carried out for an optimized crystal structure of MgZr2HRh.

Summary:
* M_tot: 0.0 Bohr magnetons per cell
* E above lowest polymorph: 7.5 meV per atom
* DOS(E_F): 4.6 states/eV per cell

a b c (Å): 4.519 4.519 3.900
angles (deg): 90.00 90.00 90.00
Atoms (fractional coordinates):
Rh1 0.000 0.000 0.500
Mg1 0.500 0.500 0.500
Zr1 0.000 0.500 0.000
H1 0.000 0.000 0.000
Zr2 0.500 0.000 0.000

Entry 10:
A plane-wave DFT calculation with GGA-PBE was carried out for an optimized crystal structure of Mg2H5Ru.

Summary:
* M_tot: 0.0 Bohr magnetons per cell
* E above lowest polymorph: 68.0 meV per atom
* DOS(E_F): 1.4 states/eV per cell

a b c (Å): 4.000 4.938 8.569
angles (deg): 90.00 90.00 113.89
Atoms (fractional coordinates):
Mg1 0.843 0.687 0.083
Ru1 0.798 0.596 0.750
H1 0.660 0.321 0.887
H2 0.059 0.118 0.381
H3 0.660 0.321 0.613
Mg2 0.157 0.313 0.583
H4 0.340 0.679 0.113
H5 0.059 0.118 0.119
H6 0.680 0.360 0.250
Mg3 0.157 0.313 0.917
H7 0.320 0.640 0.750
H8 0.941 0.882 0.881
H9 0.340 0.679 0.387
Ru2 0.202 0.404 0.250
Mg4 0.843 0.687 0.417
H10 0.941 0.882 0.619

Entry 11:
A plane-wave DFT calculation with GGA-PBE was carried out for an optimized crystal structure of Mg12H5Ru3.

Summary:
* calculated total energy: -3.09 eV/atom
* M_tot: 0.0 Bohr magnetons per cell
* DOS(E_F): 34.8 states/eV per cell

a b c (Å): 11.824 11.824 11.824
angles (deg): 109.47 109.47 109.47
Atoms (fractional coordinates):
Ru1 0.250 0.125 0.375
Mg1 0.685 0.476 0.594
Mg2 0.091 0.906 0.382
Mg3 0.591 0.710 0.685
Mg4 0.906 0.815 0.524
Mg5 0.091 0.185 0.210
Mg6 0.476 0.685 0.094
H1 0.375 0.125 0.750
H2 0.375 0.250 0.125
H3 0.250 0.875 0.125
Mg7 0.906 0.091 0.882
H4 0.125 0.750 0.375
Mg8 0.524 0.315 0.906
Mg9 0.976 0.382 0.290
H5 0.000 0.500 0.500
Mg10 0.790 0.476 0.382
H6 0.000 0.500 0.000
Mg11 0.315 0.790 0.409
H7 0.500 0.500 0.500
H8 0.875 0.250 0.625
Mg12 0.409 0.118 0.594
Mg13 0.618 0.024 0.210
Mg14 0.909 0.815 0.790
Ru2 0.625 0.375 0.750
Mg15 0.382 0.976 0.790
H9 0.500 0.500 0.000
Mg16 0.524 0.210 0.118
H10 0.250 0.375 0.625
Mg17 0.591 0.882 0.406
Mg18 0.976 0.594 0.185
Mg19 0.406 0.382 0.591
Mg20 0.815 0.909 0.290
Mg21 0.594 0.976 0.685
Ru3 0.375 0.625 0.250
H11 0.125 0.375 0.250
Ru4 0.750 0.375 0.125
Mg22 0.290 0.409 0.815
Mg23 0.382 0.406 0.091
H12 0.750 0.125 0.875
Mg24 0.618 0.594 0.909
H13 0.000 0.000 0.500
Mg25 0.710 0.591 0.185
Mg26 0.290 0.882 0.976
Ru5 0.875 0.125 0.250
Ru6 0.125 0.250 0.875
H14 0.500 0.000 0.500
Mg27 0.118 0.409 0.094
Ru7 0.875 0.750 0.125
Mg28 0.210 0.524 0.618
Mg29 0.710 0.118 0.024
Ru8 0.375 0.750 0.625
Mg30 0.476 0.790 0.882
Mg31 0.118 0.710 0.524
Mg32 0.094 0.185 0.476
Ru9 0.750 0.875 0.625
Mg33 0.882 0.290 0.476
H15 0.625 0.750 0.875
Mg34 0.210 0.685 0.091
H16 0.500 0.000 0.000
H17 0.750 0.625 0.375
Ru10 0.125 0.875 0.750
Mg35 0.406 0.024 0.315
Mg36 0.594 0.618 0.409
Mg37 0.409 0.290 0.315
H18 0.000 0.000 0.000
Mg38 0.024 0.406 0.815
Mg39 0.815 0.906 0.024
Mg40 0.790 0.315 0.909
Mg41 0.909 0.094 0.618
Mg42 0.185 0.094 0.976
Mg43 0.685 0.210 0.591
Mg44 0.024 0.618 0.710
H19 0.625 0.875 0.250
H20 0.875 0.625 0.750
Mg45 0.185 0.091 0.710
Mg46 0.315 0.524 0.406
Ru11 0.250 0.625 0.875
Ru12 0.625 0.250 0.375
Mg47 0.882 0.591 0.906
Mg48 0.094 0.909 0.118

Entry 12:
A plane-wave DFT calculation with GGA-PBE was carried out for an optimized crystal structure of Mg3H6Ru.

Summary:
* calculated total energy: -3.57 eV/atom
* M_tot: 0.0 Bohr magnetons per cell
* DOS(E_F): 2.3 states/eV per cell

a b c (Å): 4.594 6.345 6.345
angles (deg): 93.80 90.00 90.00
Atoms (fractional coordinates):
Mg1 0.482 0.901 0.688
Mg2 0.982 0.688 0.901
H1 0.679 0.627 0.656
Mg3 0.391 0.391 0.609
Mg4 0.982 0.099 0.312
H2 0.679 0.344 0.373
H3 0.717 0.256 0.744
H4 0.179 0.373 0.344
H5 0.649 0.610 0.089
H6 0.649 0.911 0.390
H7 0.255 0.999 0.001
H8 0.217 0.744 0.256
H9 0.755 0.001 0.999
Ru1 0.501 0.856 0.144
H10 0.149 0.089 0.610
Mg5 0.891 0.609 0.391
Mg6 0.482 0.312 0.099
H11 0.149 0.390 0.911
Ru2 0.001 0.144 0.856
H12 0.179 0.656 0.627